# CoSiTc2

CoSiTc2 after structural relaxation (PBE, the Alexandria database).

```
CoSiTc2
1.0
-1.455 2.099 4.172
1.455 -2.099 4.172
1.455 2.099 -4.172
Co Si Tc
1 1 2
Cartesian
0.000 0.000 0.000
1.455 0.000 1.774
0.000 0.000 3.816
0.000 2.099 1.906
```

Results
Raw formation energy = -0.279 eV per atom
Calculated volume = 51 Å³/cell


# Zn2CdPt

Zn2CdPt after structural relaxation (PBE, the Alexandria database).

```
Zn2CdPt
1.0
1.456 0.840 9.231
-1.456 0.840 9.231
0.000 -1.681 9.231
Zn Cd Pt
2 1 1
Cartesian
0.000 0.000 6.684
0.000 0.000 21.009
0.000 0.000 0.000
0.000 0.000 13.847
```

Results
ΔH_f (0 K) = -140 meV per atom
Calculated volume = 68 Å³/cell


Q: Which of these has the highest calculated volume?
A: Zn2CdPt